# 1
Below is a geometry-optimized ThNbSi2 structure, with properties calculated at the GGA-PBE level.

Calculated values
* density of states at the Fermi level: 3.641 states/eV/f.u.
* energy: -7.3407 eV per atom
* space group: Amm2 (38)
* energy relative to the lowest polymorph listed for this composition: 176 meV per atom
* ΔE_f (raw): -0.26 eV per atom

a b c (Å): 3.6825 4.9592 4.9592
angles (deg): 103.74 90.00 90.00
Last column: nearest neighbours and their distance in Å.
Atoms (fractional coordinates):
1 Si 0.5000 0.4981 0.8891  1 Si 2.37, 2 Nb 2.50-2.55
2 Si 0.5000 0.1109 0.5019  1 Si 2.37, 2 Nb 2.50-2.55
3 Th 0.0000 0.0127 0.9873  8 Si 3.09-3.16
4 Nb 0.5000 0.5935 0.4065  4 Si 2.50-2.55


# 2
Below is a geometry-optimized Th2Nb3Si4 structure, with properties calculated at the GGA-PBE level.

Calculated values
* density of states at the Fermi level: 3.675 states/eV/f.u.
* energy: -8.1600 eV per atom
* space group: P2_1/c (14)
* ΔE_f (raw): -0.74 eV per atom

a b c (Å): 7.0651 7.2139 7.2123
angles (deg): 90.00 90.00 109.22
Last column: nearest neighbours and their distance in Å.
Atoms (fractional coordinates):
1 Si 0.1274 0.4968 0.8726  1 Si 2.58, 5 Nb 2.63-2.84
2 Si 0.6274 0.4968 0.6274  1 Si 2.58, 5 Nb 2.63-2.84
3 Si 0.8684 0.0882 0.5447  1 Si 2.66, 4 Nb 2.66-2.82, 1 Th 2.94
4 Si 0.3684 0.0882 0.9553  1 Si 2.66, 4 Nb 2.66-2.82, 1 Th 2.94
5 Si 0.1316 0.9118 0.4553  1 Si 2.66, 4 Nb 2.66-2.82, 1 Th 2.94
6 Si 0.6316 0.9118 0.0447  1 Si 2.66, 4 Nb 2.66-2.82, 1 Th 2.94
7 Si 0.8726 0.5032 0.1274  1 Si 2.58, 5 Nb 2.63-2.84
8 Si 0.3726 0.5032 0.3726  1 Si 2.58, 5 Nb 2.63-2.84
9 Nb 0.7487 0.2547 0.8312  6 Si 2.63-2.80
10 Nb 0.5000 0.5000 0.0000  6 Si 2.78-2.84
11 Nb 0.2513 0.7453 0.1688  6 Si 2.63-2.80
12 Nb 0.2487 0.2547 0.6688  6 Si 2.63-2.80
13 Nb 0.0000 0.5000 0.5000  6 Si 2.78-2.84
14 Nb 0.7513 0.7453 0.3312  6 Si 2.63-2.80
15 Th 0.0631 0.1899 0.1706  7 Si 2.94-3.18
16 Th 0.9369 0.8101 0.8294  7 Si 2.94-3.18
17 Th 0.5631 0.1899 0.3294  7 Si 2.94-3.18
18 Th 0.4369 0.8101 0.6706  7 Si 2.94-3.18


# 3
Below is a geometry-optimized ThNbSi2 structure, with properties calculated at the GGA-PBE level.

Calculated values
* density of states at the Fermi level: 3.463 states/eV/f.u.
* energy: -7.5162 eV per atom
* space group: R-3m (166)
* energy relative to the lowest polymorph listed for this composition: 0 meV per atom
* ΔE_f (raw): -0.43 eV per atom

a b c (Å): 3.9053 3.9053 6.8897
angles (deg): 73.54 73.54 60.00
Last column: nearest neighbours and their distance in Å.
Atoms (fractional coordinates):
1 Th 0.5000 0.5000 0.5000  6 Si 2.96
2 Si 0.2645 0.2645 0.2065  3 Nb 2.63
3 Si 0.7355 0.7355 0.7935  3 Nb 2.63
4 Nb 0.0000 0.0000 0.0000  6 Si 2.63


# 4
Below is a geometry-optimized ThNb4Si2 structure, with properties calculated at the GGA-PBE level.

Calculated values
* density of states at the Fermi level: 5.599 states/eV/f.u.
* energy: -8.7950 eV per atom
* space group: Cmmm (65)
* ΔE_f (raw): -0.43 eV per atom

a b c (Å): 4.3770 3.6804 8.5674
angles (deg): 102.40 90.00 90.00
Last column: nearest neighbours and their distance in Å.
Atoms (fractional coordinates):
1 Si 0.5000 0.4279 0.8557  1 Si 2.41, 2 Nb 2.59
2 Si 0.5000 0.5721 0.1443  1 Si 2.41, 2 Nb 2.59
3 Th 0.0000 0.0000 0.0000  8 Si 3.10, 4 Nb 3.45
4 Nb 0.0000 0.6745 0.3490  2 Si 2.78, 4 Nb 2.86
5 Nb 0.0000 0.3255 0.6510  2 Si 2.78, 4 Nb 2.86
6 Nb 0.5000 0.8186 0.6373  2 Si 2.59, 4 Nb 2.86
7 Nb 0.5000 0.1814 0.3627  2 Si 2.59, 4 Nb 2.86


# 5
Below is a geometry-optimized TiNbSi structure, with properties calculated at the GGA-PBE level.

Calculated values
* density of states at the Fermi level: 2.452 states/eV/f.u.
* energy: -8.1799 eV per atom
* space group: C2/m (12)
* ΔE_f (raw): -0.38 eV per atom

a b c (Å): 3.5780 4.8262 6.0644
angles (deg): 99.90 107.16 90.00
Last column: nearest neighbours and their distance in Å.
Atoms (fractional coordinates):
1 Si 0.2325 0.8292 0.4650  2 Si 2.42, 3 Ti 2.56-2.69, 3 Nb 2.60-2.64
2 Si 0.7675 0.1708 0.5350  2 Si 2.42, 3 Ti 2.56-2.69, 3 Nb 2.60-2.64
3 Nb 0.1237 0.3001 0.2475  4 Si 2.60-2.79, 2 Ti 2.86
4 Nb 0.8763 0.6999 0.7525  4 Si 2.60-2.79, 2 Ti 2.86
5 Ti 0.4281 0.2246 0.8563  3 Si 2.56-2.69, 2 Nb 2.86
6 Ti 0.5719 0.7754 0.1437  3 Si 2.56-2.69, 2 Nb 2.86


# 6
Below is a geometry-optimized TiNbSi2 structure, with properties calculated at the GGA-PBE level.

Calculated values
* density of states at the Fermi level: 2.682 states/eV/f.u.
* energy: -7.3847 eV per atom
* space group: I-42d (122)
* energy relative to the lowest polymorph listed for this composition: 502 meV per atom
* ΔE_f (raw): -0.18 eV per atom

a b c (Å): 6.8570 6.8570 5.5919
angles (deg): 52.18 52.18 90.00
Last column: nearest neighbours and their distance in Å.
Atoms (fractional coordinates):
1 Si 0.6201 0.1250 0.2500  2 Ti 2.50, 2 Nb 2.55, 2 Si 2.79
2 Si 0.8750 0.8701 0.7500  2 Ti 2.50, 2 Nb 2.55, 2 Si 2.79
3 Si 0.3750 0.3799 0.7500  2 Ti 2.50, 2 Nb 2.55, 2 Si 2.79
4 Si 0.1299 0.6250 0.2500  2 Ti 2.50, 2 Nb 2.55, 2 Si 2.79
5 Nb 0.0000 0.0000 0.0000  4 Si 2.55, 2 Ti 2.79
6 Nb 0.7500 0.2500 0.5000  4 Si 2.55, 2 Ti 2.79
7 Ti 0.2500 0.7500 0.5000  4 Si 2.50, 2 Nb 2.79
8 Ti 0.5000 0.5000 0.0000  4 Si 2.50, 2 Nb 2.79